This record from Alexandria describes an optimized crystal structure of MnVGeO6. The functional is PBE with a Hubbard U.

abc: 4.9367 4.9367 8.8486
angles: 90.00 90.00 120.00
Space group P-31c (No. 163)
Inequivalent atoms, fractional coordinates:
1 Mn 0.0000 0.0000 0.0000
2 V 0.3333 0.6667 0.2500
3 Ge 0.3333 0.6667 0.7500
4 O 0.0010 0.3530 0.1336

Values from the calculation:
DOS(E_F) ... 2.8 states/eV/f.u.
VASP energy ... -7.052 eV per atom